Density functional theory data (PBE) for crystalline BaRh at its relaxed geometry.

The structure belongs to space group P4/nmm (No. 129, origin choice 2); the cell edges are 3.721, 3.721 and 9.065 Å and the angles 90.00°, 90.00° and 90.00°. Symmetry generates all atoms from Ba at (0.250, 0.250, 0.224) and Rh at (0.250, 0.250, 0.538).

The calculation puts the total energy at -4.51 eV/atom. The calculated volume comes out at 31.379 Å³/atom. Its energy of formation is 0.130 eV/atom.